Material: Hf2ZnRuW
Method: DFT, PBE
State: relaxed

Computed properties:
- space group = No. 123
- formation enthalpy at 0 K (eV per atom) = 0.969
- final energy (eV per atom) = -7.7128

Cell: 4.838 4.838 4.621 Å, 90.00 90.00 90.00°
Positions (direct):
Hf 0.000 0.500 0.000
Hf 0.500 0.000 0.000
Zn 0.000 0.000 0.500
Ru 0.000 0.000 0.000
W 0.500 0.500 0.500

Material: SrSn4Hg
Method: DFT, PBE
State: relaxed

Computed properties:
- space group = No. 216
- ΔE to the lowest computed polymorph (kJ/mol of atoms) = 5.5
- formation enthalpy at 0 K (eV per atom) = -0.210
- final energy (eV per atom) = -3.2092

Cell: 6.307 6.307 6.307 Å, 60.00 60.00 60.00°
Positions (direct):
Sr 0.000 0.000 0.000
Sn 0.126 0.625 0.625
Sn 0.625 0.126 0.625
Sn 0.625 0.625 0.126
Sn 0.625 0.625 0.625
Hg 0.250 0.250 0.250

Material: Tb3Nd6Y2Tm
Method: DFT, PBE
State: relaxed

Computed properties:
- space group = No. 12
- formation enthalpy at 0 K (eV per atom) = 0.011
- final energy (eV per atom) = -4.9808

Cell: 6.284 6.284 11.880 Å, 95.05 95.05 120.01°
Positions (direct):
Tb 0.000 0.000 0.000
Tb 0.333 0.667 0.000
Tb 0.667 0.333 0.000
Nd 0.084 0.416 0.250
Nd 0.251 0.251 0.750
Nd 0.416 0.084 0.250
Nd 0.584 0.916 0.750
Nd 0.749 0.749 0.250
Nd 0.916 0.584 0.750
Y 0.167 0.833 0.500
Y 0.833 0.167 0.500
Tm 0.500 0.500 0.500

Copy entry 3 word for word.
Material: Tb3Nd6Y2Tm
Method: DFT, PBE
State: relaxed

Computed properties:
- space group = No. 12
- formation enthalpy at 0 K (eV per atom) = 0.011
- final energy (eV per atom) = -4.9808

Cell: 6.284 6.284 11.880 Å, 95.05 95.05 120.01°
Positions (direct):
Tb 0.000 0.000 0.000
Tb 0.333 0.667 0.000
Tb 0.667 0.333 0.000
Nd 0.084 0.416 0.250
Nd 0.251 0.251 0.750
Nd 0.416 0.084 0.250
Nd 0.584 0.916 0.750
Nd 0.749 0.749 0.250
Nd 0.916 0.584 0.750
Y 0.167 0.833 0.500
Y 0.833 0.167 0.500
Tm 0.500 0.500 0.500

> Which value of final energy does entry 2 give?

-3.2092 eV per atom